(1)
NdLuPdPb: optimized geometry, GGA-PBE.

Space-group type = No. 216

Lattice parameters (Å, degrees): 7.427 7.427 7.427 90.00 90.00 90.00
Fractional coordinates of all 16 atoms:
Nd: 0.000 0.000 0.000
Nd: 0.000 0.500 0.500
Nd: 0.500 0.000 0.500
Nd: 0.500 0.500 0.000
Lu: 0.000 0.000 0.500
Lu: 0.000 0.500 0.000
Lu: 0.500 0.000 0.000
Lu: 0.500 0.500 0.500
Pd: 0.250 0.250 0.250
Pd: 0.250 0.750 0.750
Pd: 0.750 0.250 0.750
Pd: 0.750 0.750 0.250
Pb: 0.250 0.250 0.750
Pb: 0.250 0.750 0.250
Pb: 0.750 0.250 0.250
Pb: 0.750 0.750 0.750


(2)
PmNdLuPb: optimized geometry, GGA-PBE.

Space-group type = No. 216

Lattice parameters (Å, degrees): 7.868 7.868 7.868 90.00 90.00 90.00
Fractional coordinates of all 16 atoms:
Pm: 0.000 0.000 0.000
Pm: 0.000 0.500 0.500
Pm: 0.500 0.000 0.500
Pm: 0.500 0.500 0.000
Nd: 0.000 0.000 0.500
Nd: 0.000 0.500 0.000
Nd: 0.500 0.000 0.000
Nd: 0.500 0.500 0.500
Lu: 0.250 0.250 0.250
Lu: 0.250 0.750 0.750
Lu: 0.750 0.250 0.750
Lu: 0.750 0.750 0.250
Pb: 0.250 0.250 0.750
Pb: 0.250 0.750 0.250
Pb: 0.750 0.250 0.250
Pb: 0.750 0.750 0.750


Number 1: ΔE_f -2.31 eV per formula unit, spin magnetization 0.03 Bohr magnetons per cell. Number 2: ΔE_f -0.59 eV per formula unit, spin magnetization 0.03 Bohr magnetons per cell.